1.
Computed, not measured: a relaxed Ac2TlCdIr crystal at the PBE level of DFT.

Calculated values
Energy in eV/atom: -4.53
M_tot in μB per formula unit: 0.000
ΔH_f (0 K) in meV/atom: -463

```
data_Ac2TlCdIr
_cell_length_a 8.6175
_cell_length_b 4.3803
_cell_length_c 8.6812
_cell_angle_alpha 90.00
_cell_angle_beta 111.61
_cell_angle_gamma 90.00
_symmetry_space_group_name_H-M 'P 1 21/m 1'
_symmetry_Int_Tables_number 11
loop_
_symmetry_equiv_pos_as_xyz
'x,y,z'
'-x,-y,-z'
'-x,y+1/2,-z'
'x,-y+1/2,z'
loop_
_atom_site_label
_atom_site_type_symbol
_atom_site_fract_x
_atom_site_fract_y
_atom_site_fract_z
Ac1 Ac 0.1079 0.2500 0.3363
Ac2 Ac 0.2805 0.2500 0.9863
Tl1 Tl 0.3143 0.7500 0.6773
Cd1 Cd 0.4386 0.7500 0.3502
Ir1 Ir 0.1124 0.7500 0.0998
```

***

2.
Computed, not measured: a relaxed ScSb2TePb crystal at the PBE level of DFT.

Calculated values
Energy in eV/atom: -4.30
Distance to the lowest polymorph of the same formula in meV/atom: 0
M_tot in μB per formula unit: 0.000
Raw formation energy in eV/atom: -0.012

```
data_ScSb2TePb
_cell_length_a 5.5035
_cell_length_b 5.5035
_cell_length_c 5.5613
_cell_angle_alpha 90.00
_cell_angle_beta 90.00
_cell_angle_gamma 90.00
_symmetry_space_group_name_H-M 'P 4/m m m'
_symmetry_Int_Tables_number 123
_symmetry_space_group_name_Hall '-P 4 2'
loop_
_atom_site_label
_atom_site_type_symbol
_atom_site_fract_x
_atom_site_fract_y
_atom_site_fract_z
Sc1 Sc 0.0000 0.0000 0.0000
Sb1 Sb 0.0000 0.5000 0.0000
Te1 Te 0.0000 0.0000 0.5000
Pb1 Pb 0.5000 0.5000 0.5000
```

***

3.
Computed, not measured: a relaxed YSi2Cl crystal at the PBE level of DFT.

Calculated values
Energy in eV/atom: -4.95
Distance to the lowest polymorph of the same formula in meV/atom: 684
M_tot in μB per formula unit: 0.000
Raw formation energy in eV/atom: -0.159

```
data_YSi2Cl
_cell_length_a 6.9313
_cell_length_b 6.9313
_cell_length_c 6.9313
_cell_angle_alpha 90.00
_cell_angle_beta 90.00
_cell_angle_gamma 90.00
_symmetry_space_group_name_H-M 'F -4 3 m'
_symmetry_Int_Tables_number 216
_symmetry_space_group_name_Hall 'F -4 2 3'
loop_
_atom_site_label
_atom_site_type_symbol
_atom_site_fract_x
_atom_site_fract_y
_atom_site_fract_z
Y1 Y 0.0000 0.0000 0.0000
Si1 Si 0.0000 0.0000 0.5000
Si2 Si 0.2500 0.2500 0.2500
Cl1 Cl 0.2500 0.2500 0.7500
```

***

4.
Computed, not measured: a relaxed Sm2Y3Pd2 crystal at the PBE level of DFT.

Calculated values
Energy in eV/atom: -6.11
M_tot in μB per formula unit: 0.000
ΔH_f (0 K) in meV/atom: -507

```
data_Sm2Y3Pd2
_cell_length_a 12.5896
_cell_length_b 3.7279
_cell_length_c 9.2014
_cell_angle_alpha 90.00
_cell_angle_beta 117.08
_cell_angle_gamma 90.00
_symmetry_space_group_name_H-M 'C 1 2/m 1'
_symmetry_Int_Tables_number 12
loop_
_symmetry_equiv_pos_as_xyz
'x,y,z'
'-x,-y,-z'
'-x,y,-z'
'x,-y,z'
'x+1/2,y+1/2,z'
'-x+1/2,-y+1/2,-z'
'-x+1/2,y+1/2,-z'
'x+1/2,-y+1/2,z'
loop_
_atom_site_label
_atom_site_type_symbol
_atom_site_fract_x
_atom_site_fract_y
_atom_site_fract_z
Sm1 Sm 0.1583 0.0000 0.3134
Y1 Y 0.0000 0.5000 0.5000
Y2 Y 0.1137 0.5000 0.9393
Pd1 Pd 0.1695 0.0000 0.7374
```